A geometry-optimized Y2ErAg3Te6 structure. Source: Alexandria, functional PBE-GGA.

E_form (uncorrected) in kJ/mol of formula units: -980.1
Spin magnetization in μB/f.u.: 0.0

Cell lengths 10.174, 10.174, 8.454 Å; angles 103.15, 103.15, 24.81 degrees
Fractional positions:
Y 0.173 0.173 0.307
Y 0.827 0.827 0.693
Er 0.500 0.500 0.000
Ag 0.204 0.204 0.785
Ag 0.500 0.500 0.500
Ag 0.796 0.796 0.215
Te 0.014 0.014 0.260
Te 0.336 0.336 0.433
Te 0.342 0.342 0.962
Te 0.658 0.658 0.038
Te 0.664 0.664 0.567
Te 0.986 0.986 0.740

=====

A geometry-optimized Er2ThAg structure. Source: Alexandria, functional PBE-GGA.

Spin magnetization in μB/f.u.: 0.0
Offset from the most stable computed form in meV/atom: 129
Density of states at the Fermi level in states/eV per atom: 1.2958
Energy of formation from the pure elements in meV per atom: -20

Cell lengths 10.517, 10.517, 10.517 Å; angles 19.43, 19.43, 19.43 degrees
Fractional positions:
Er 0.242 0.242 0.242
Er 0.758 0.758 0.758
Th 0.000 0.000 0.000
Ag 0.500 0.500 0.500

=====

A geometry-optimized ErThAg4 structure. Source: Alexandria, functional PBE-GGA.

Spin magnetization in μB/f.u.: 0.0
Offset from the most stable computed form in meV/atom: 0
Density of states at the Fermi level in states/eV per atom: 0.5444
Energy of formation from the pure elements in meV per atom: -164

Cell lengths 5.442, 5.442, 5.351 Å; angles 90.00, 90.00, 120.95 degrees
Fractional positions:
Er 0.000 0.000 0.000
Th 0.500 0.500 0.500
Ag 0.169 0.831 0.500
Ag 0.323 0.677 0.000
Ag 0.677 0.323 0.000
Ag 0.831 0.169 0.500

=====

A geometry-optimized ErThAg structure. Source: Alexandria, functional PBE-GGA.

Spin magnetization in μB/f.u.: 0.0
Offset from the most stable computed form in meV/atom: 0
Density of states at the Fermi level in states/eV per atom: 0.9917
Energy of formation from the pure elements in meV per atom: -114

Cell lengths 7.589, 6.412, 5.753 Å; angles 76.99, 55.40, 47.62 degrees
Fractional positions:
Er 0.147 0.147 0.853
Er 0.853 0.853 0.147
Th 0.335 0.665 0.335
Th 0.665 0.335 0.665
Ag 0.250 0.250 0.250
Ag 0.750 0.750 0.750

=====

A geometry-optimized Er2ThAg structure. Source: Alexandria, functional PBE-GGA.

Spin magnetization in μB/f.u.: 0.0
Offset from the most stable computed form in meV/atom: 196
Density of states at the Fermi level in states/eV per atom: 1.4181
Energy of formation from the pure elements in meV per atom: 47

Cell lengths 5.532, 5.532, 3.569 Å; angles 90.00, 90.00, 90.00 degrees
Fractional positions:
Er 0.000 0.500 0.000
Er 0.500 0.000 0.000
Th 0.000 0.000 0.500
Ag 0.500 0.500 0.500

=====

A geometry-optimized ErTh2Ag structure. Source: Alexandria, functional PBE-GGA.

Spin magnetization in μB/f.u.: 0.0
Offset from the most stable computed form in meV/atom: 0
Density of states at the Fermi level in states/eV per atom: 1.2068
Energy of formation from the pure elements in meV per atom: 24

Cell lengths 3.525, 3.525, 9.386 Å; angles 90.00, 90.00, 90.00 degrees
Fractional positions:
Er 0.000 0.000 0.000
Th 0.500 0.500 0.273
Th 0.500 0.500 0.727
Ag 0.000 0.000 0.500

=====

A geometry-optimized Er4ThAg5 structure. Source: Alexandria, functional PBE-GGA.

Spin magnetization in μB/f.u.: 0.0
Density of states at the Fermi level in states/eV per atom: 0.6490
Energy of formation from the pure elements in meV per atom: -275

Cell lengths 3.583, 3.583, 18.645 Å; angles 90.00, 90.00, 90.00 degrees
Fractional positions:
Er 0.000 0.000 0.098
Er 0.000 0.000 0.293
Er 0.000 0.000 0.707
Er 0.000 0.000 0.902
Th 0.000 0.000 0.500
Ag 0.500 0.500 0.000
Ag 0.500 0.500 0.196
Ag 0.500 0.500 0.387
Ag 0.500 0.500 0.613
Ag 0.500 0.500 0.804

=====

A geometry-optimized Er3ThAg2 structure. Source: Alexandria, functional PBE-GGA.

Spin magnetization in μB/f.u.: 0.0
Density of states at the Fermi level in states/eV per atom: 1.1675
Energy of formation from the pure elements in meV per atom: -211

Cell lengths 3.599, 3.599, 12.048 Å; angles 90.00, 90.00, 90.00 degrees
Fractional positions:
Er 0.000 0.000 0.000
Er 0.000 0.000 0.301
Er 0.000 0.000 0.699
Th 0.500 0.500 0.500
Ag 0.500 0.500 0.150
Ag 0.500 0.500 0.850

=====

A geometry-optimized Er2ThAg structure. Source: Alexandria, functional PBE-GGA.

Spin magnetization in μB/f.u.: 0.0
Offset from the most stable computed form in meV/atom: 0
Density of states at the Fermi level in states/eV per atom: 1.2100
Energy of formation from the pure elements in meV per atom: -149

Cell lengths 3.609, 3.609, 8.349 Å; angles 90.00, 90.00, 90.00 degrees
Fractional positions:
Er 0.000 0.000 0.216
Er 0.000 0.000 0.784
Th 0.500 0.500 0.500
Ag 0.500 0.500 0.000

=====

A geometry-optimized Er3ThAg4 structure. Source: Alexandria, functional PBE-GGA.

Spin magnetization in μB/f.u.: 0.3
Density of states at the Fermi level in states/eV per atom: 1.0113
Energy of formation from the pure elements in meV per atom: -233

Cell lengths 5.133, 5.133, 7.358 Å; angles 90.00, 90.00, 90.00 degrees
Fractional positions:
Er 0.000 0.000 0.000
Er 0.000 0.000 0.500
Er 0.500 0.500 0.000
Th 0.500 0.500 0.500
Ag 0.000 0.500 0.238
Ag 0.000 0.500 0.762
Ag 0.500 0.000 0.238
Ag 0.500 0.000 0.762

=====

A geometry-optimized ErThAg4 structure. Source: Alexandria, functional PBE-GGA.

Spin magnetization in μB/f.u.: 0.0
Offset from the most stable computed form in meV/atom: 87
Density of states at the Fermi level in states/eV per atom: 0.7808
Energy of formation from the pure elements in meV per atom: -77

Cell lengths 5.727, 5.727, 5.727 Å; angles 60.00, 60.00, 60.00 degrees
Fractional positions:
Er 0.000 0.000 0.000
Th 0.250 0.250 0.250
Ag 0.124 0.625 0.625
Ag 0.625 0.124 0.625
Ag 0.625 0.625 0.124
Ag 0.625 0.625 0.625

=====

A geometry-optimized Er2ThAg structure. Source: Alexandria, functional PBE-GGA.

Spin magnetization in μB/f.u.: 0.0
Offset from the most stable computed form in meV/atom: 164
Density of states at the Fermi level in states/eV per atom: 1.5105
Energy of formation from the pure elements in meV per atom: 15

Cell lengths 10.693, 10.693, 10.693 Å; angles 18.98, 18.98, 18.98 degrees
Fractional positions:
Er 0.000 0.000 0.000
Er 0.186 0.186 0.186
Th 0.759 0.759 0.759
Ag 0.593 0.593 0.593

=====

A geometry-optimized ErThAg3 structure. Source: Alexandria, functional PBE-GGA.

Spin magnetization in μB/f.u.: 0.0
Density of states at the Fermi level in states/eV per atom: 0.7042
Energy of formation from the pure elements in meV per atom: -194

Cell lengths 14.314, 14.314, 4.850 Å; angles 90.00, 90.00, 166.27 degrees
Fractional positions:
Er 0.211 0.789 0.750
Er 0.789 0.211 0.250
Th 0.075 0.925 0.250
Th 0.925 0.075 0.750
Ag 0.321 0.679 0.750
Ag 0.377 0.623 0.250
Ag 0.476 0.524 0.250
Ag 0.524 0.476 0.750
Ag 0.623 0.377 0.750
Ag 0.679 0.321 0.250

=====

A geometry-optimized ErThAg structure. Source: Alexandria, functional PBE-GGA.

Spin magnetization in μB/f.u.: 0.0
Offset from the most stable computed form in meV/atom: 213
Density of states at the Fermi level in states/eV per atom: 1.3535
Energy of formation from the pure elements in meV per atom: 99

Cell lengths 5.098, 5.098, 3.711 Å; angles 90.00, 90.00, 120.00 degrees
Fractional positions:
Er 0.000 0.000 0.000
Th 0.333 0.667 0.493
Ag 0.667 0.333 0.963

=====

A geometry-optimized ErTh2Ag structure. Source: Alexandria, functional PBE-GGA.

Spin magnetization in μB/f.u.: 0.0
Offset from the most stable computed form in meV/atom: 319
Density of states at the Fermi level in states/eV per atom: 1.3108
Energy of formation from the pure elements in meV per atom: 344

Cell lengths 12.294, 12.294, 12.294 Å; angles 15.89, 15.89, 15.89 degrees
Fractional positions:
Er 0.000 0.000 0.000
Th 0.414 0.414 0.414
Th 0.586 0.586 0.586
Ag 0.500 0.500 0.500

=====

A geometry-optimized ErThAg structure. Source: Alexandria, functional PBE-GGA.

Spin magnetization in μB/f.u.: 0.0
Offset from the most stable computed form in meV/atom: 6
Density of states at the Fermi level in states/eV per atom: 1.3631
Energy of formation from the pure elements in meV per atom: -108

Cell lengths 6.874, 6.874, 6.874 Å; angles 149.79, 149.79, 43.25 degrees
Fractional positions:
Er 0.000 0.000 0.000
Th 0.691 0.691 0.000
Ag 0.361 0.361 0.000

=====

A geometry-optimized ErThAg2 structure. Source: Alexandria, functional PBE-GGA.

Spin magnetization in μB/f.u.: 0.0
Offset from the most stable computed form in meV/atom: 0
Density of states at the Fermi level in states/eV per atom: 0.9703
Energy of formation from the pure elements in meV per atom: -183

Cell lengths 3.560, 3.560, 7.791 Å; angles 90.00, 90.00, 90.00 degrees
Fractional positions:
Er 0.000 0.000 0.000
Th 0.000 0.000 0.500
Ag 0.500 0.500 0.225
Ag 0.500 0.500 0.775

=====

A geometry-optimized ErThAg2 structure. Source: Alexandria, functional PBE-GGA.

Spin magnetization in μB/f.u.: 0.0
Offset from the most stable computed form in meV/atom: 41
Density of states at the Fermi level in states/eV per atom: 1.2513
Energy of formation from the pure elements in meV per atom: -141

Cell lengths 5.216, 5.216, 5.216 Å; angles 60.00, 60.00, 60.00 degrees
Fractional positions:
Er 0.000 0.000 0.000
Th 0.500 0.500 0.500
Ag 0.250 0.250 0.250
Ag 0.750 0.750 0.750

=====

A geometry-optimized Er5ThAg4 structure. Source: Alexandria, functional PBE-GGA.

Spin magnetization in μB/f.u.: 0.0
Density of states at the Fermi level in states/eV per atom: 0.7967
Energy of formation from the pure elements in meV per atom: -262

Cell lengths 3.587, 3.587, 19.391 Å; angles 90.00, 90.00, 90.00 degrees
Fractional positions:
Er 0.000 0.000 0.000
Er 0.000 0.000 0.189
Er 0.000 0.000 0.376
Er 0.000 0.000 0.624
Er 0.000 0.000 0.811
Th 0.500 0.500 0.500
Ag 0.500 0.500 0.094
Ag 0.500 0.500 0.282
Ag 0.500 0.500 0.718
Ag 0.500 0.500 0.906

=====

A geometry-optimized ErThTlAg structure. Source: Alexandria, functional PBE-GGA.

Spin magnetization in μB/f.u.: 0.9
Density of states at the Fermi level in states/eV per atom: 0.8156
Energy of formation from the pure elements in meV per atom: -160

Cell lengths 5.339, 5.339, 5.339 Å; angles 60.00, 60.00, 60.00 degrees
Fractional positions:
Er 0.000 0.000 0.000
Th 0.500 0.500 0.500
Tl 0.250 0.250 0.250
Ag 0.750 0.750 0.750

=====

A geometry-optimized Er2ThTl2Ag2 structure. Source: Alexandria, functional PBE-GGA.

Spin magnetization in μB/f.u.: 0.0
Density of states at the Fermi level in states/eV per atom: 0.6294
Energy of formation from the pure elements in meV per atom: -131

Cell lengths 9.043, 9.043, 9.043 Å; angles 31.45, 31.45, 31.45 degrees
Fractional positions:
Er 0.134 0.134 0.134
Er 0.866 0.866 0.866
Th 0.000 0.000 0.000
Tl 0.265 0.265 0.265
Tl 0.735 0.735 0.735
Ag 0.439 0.439 0.439
Ag 0.561 0.561 0.561

=====

A geometry-optimized ErThZnAg structure. Source: Alexandria, functional PBE-GGA.

Spin magnetization in μB/f.u.: 0.8
Density of states at the Fermi level in states/eV per atom: 0.9107
Energy of formation from the pure elements in meV per atom: -176

Cell lengths 5.172, 5.172, 5.172 Å; angles 60.00, 60.00, 60.00 degrees
Fractional positions:
Er 0.000 0.000 0.000
Th 0.500 0.500 0.500
Zn 0.250 0.250 0.250
Ag 0.750 0.750 0.750

=====

A geometry-optimized Er2TiAg structure. Source: Alexandria, functional PBE-GGA.

Spin magnetization in μB/f.u.: 2.4
Offset from the most stable computed form in meV/atom: 77
Density of states at the Fermi level in states/eV per atom: 1.4194
Energy of formation from the pure elements in meV per atom: 28

Cell lengths 5.081, 5.081, 3.659 Å; angles 90.00, 90.00, 90.00 degrees
Fractional positions:
Er 0.000 0.500 0.000
Er 0.500 0.000 0.000
Ti 0.000 0.000 0.500
Ag 0.500 0.500 0.500

=====

A geometry-optimized Er2TiAg structure. Source: Alexandria, functional PBE-GGA.

Spin magnetization in μB/f.u.: 0.0
Offset from the most stable computed form in meV/atom: 0
Density of states at the Fermi level in states/eV per atom: 0.8815
Energy of formation from the pure elements in meV per atom: -49

Cell lengths 3.380, 3.380, 8.197 Å; angles 90.00, 90.00, 90.00 degrees
Fractional positions:
Er 0.000 0.000 0.248
Er 0.000 0.000 0.752
Ti 0.500 0.500 0.500
Ag 0.500 0.500 0.000

=====

A geometry-optimized ErTiAg2 structure. Source: Alexandria, functional PBE-GGA.

Spin magnetization in μB/f.u.: 1.3
Offset from the most stable computed form in meV/atom: 0
Density of states at the Fermi level in states/eV per atom: 0.7047
Energy of formation from the pure elements in meV per atom: -52

Cell lengths 3.458, 3.458, 6.843 Å; angles 90.00, 90.00, 90.00 degrees
Fractional positions:
Er 0.000 0.000 0.000
Ti 0.000 0.000 0.500
Ag 0.500 0.500 0.277
Ag 0.500 0.500 0.723

=====

A geometry-optimized ErTiAg structure. Source: Alexandria, functional PBE-GGA.

Spin magnetization in μB/f.u.: 0.0
Density of states at the Fermi level in states/eV per atom: 0.8771
Energy of formation from the pure elements in meV per atom: -52

Cell lengths 3.239, 3.239, 12.112 Å; angles 90.09, 90.09, 89.97 degrees
Fractional positions:
Er 0.250 0.250 0.112
Er 0.750 0.750 0.888
Ti 0.249 0.249 0.432
Ti 0.751 0.751 0.568
Ag 0.251 0.251 0.707
Ag 0.749 0.749 0.293

=====

A geometry-optimized ErTiAg2 structure. Source: Alexandria, functional PBE-GGA.

Spin magnetization in μB/f.u.: 1.6
Offset from the most stable computed form in meV/atom: 21
Density of states at the Fermi level in states/eV per atom: 1.1541
Energy of formation from the pure elements in meV per atom: -31

Cell lengths 4.822, 4.822, 3.545 Å; angles 90.00, 90.00, 90.00 degrees
Fractional positions:
Er 0.000 0.000 0.000
Ti 0.500 0.500 0.000
Ag 0.000 0.500 0.500
Ag 0.500 0.000 0.500

=====

A geometry-optimized ErTiTlAg structure. Source: Alexandria, functional PBE-GGA.

Spin magnetization in μB/f.u.: 1.4
Density of states at the Fermi level in states/eV per atom: 0.6548
Energy of formation from the pure elements in meV per atom: -58

Cell lengths 4.997, 4.997, 4.997 Å; angles 60.00, 60.00, 60.00 degrees
Fractional positions:
Er 0.000 0.000 0.000
Ti 0.500 0.500 0.500
Tl 0.250 0.250 0.250
Ag 0.750 0.750 0.750